# YAgPb

Crystalline YAgPb at its relaxed geometry (PBE, Alexandria).

Cell: 6.300 6.303 8.322 Å, 90.00 112.12 90.00°
Space group C2/m (No. 12)
Asymmetric unit:
1 Y 0.160 0.000 0.321
2 Ag 0.250 0.250 0.000
3 Pb 0.132 0.500 0.265

Computed properties:
Magnetic moment, μB/cell: 0.00
Raw total energy, eV/atom: -4.6533
DOS at the Fermi energy, states/eV/f.u.: 2.4
ρ, g/cm3: 8.764
ΔH_f (0 K), meV per atom: -312
Calculated volume, Å³ per atom: 25.51